Entry 1:
Computed, not measured: crystalline AcPrRu2 at its relaxed geometry at the PBE-GGA level of DFT.

Cell lengths 3.6173, 3.6173, 7.1968 Å; angles 90.00, 90.00, 90.00 degrees
Space group P4/mmm (No. 123)
Asymmetric unit:
Ac1 0.0000 0.0000 0.0000 x1
Pr1 0.0000 0.0000 0.5000 x1
Ru1 0.5000 0.5000 0.2541 x2

Results
Crystal system: tetragonal
Uncorrected energy: -0.499 Ry/atom
Mass density: 10.05 g cm⁻³
Formation energy: 7 kJ per mole of atoms
E above lowest polymorph: 10 meV/atom

---

Entry 2:
Computed, not measured: crystalline ZnGa2Pt2 at its relaxed geometry at the PBE-GGA level of DFT.

Cell lengths 7.5860, 7.5860, 2.7914 Å; angles 90.00, 90.00, 90.00 degrees
Space group P4/mbm (No. 127)
Asymmetric unit:
Zn1 0.0000 0.0000 0.0000 x2
Ga1 0.1390 0.3610 0.0000 x4
Pt1 0.1583 0.6583 0.5000 x4

Results
Crystal system: tetragonal
Uncorrected energy: -0.314 Ry/atom
Mass density: 12.30 g cm⁻³
Formation energy: -38 kJ per mole of atoms
E above lowest polymorph: 195 meV/atom

---

Entry 3:
Computed, not measured: crystalline Cs3HgBr5 at its relaxed geometry at the PBE-GGA level of DFT.

Cell lengths 9.6558, 11.3804, 14.4354 Å; angles 90.00, 90.00, 90.00 degrees
Space group Pnma (No. 62)
Asymmetric unit:
Cs1 0.0815 0.2500 0.0496 x4
Cs2 0.0889 0.0223 0.3306 x8
Hg1 0.1924 0.2500 0.6110 x4
Br1 0.0422 0.7500 0.4919 x4
Br2 0.1287 0.2500 0.7893 x4
Br3 0.1642 0.7500 0.7614 x4
Br4 0.1853 0.5509 0.0615 x8

Results
Crystal system: orthorhombic
Uncorrected energy: -0.193 Ry/atom
Mass density: 4.18 g cm⁻³

---

Entry 4:
Computed, not measured: crystalline Si2Tc2B at its relaxed geometry at the PBE-GGA level of DFT.

Cell lengths 5.8598, 5.8598, 3.7856 Å; angles 90.00, 90.00, 90.00 degrees
Space group P4/mbm (No. 127)
Asymmetric unit:
Si1 0.1477 0.3523 0.0000 x4
Tc1 0.1671 0.6671 0.5000 x4
B1 0.0000 0.0000 0.5000 x2

Results
Crystal system: tetragonal
Uncorrected energy: -0.572 Ry/atom
Mass density: 6.72 g cm⁻³

---

Entry 5:
Computed, not measured: crystalline KReCl2F6 at its relaxed geometry at the PBE-GGA level of DFT.

Cell lengths 11.6455, 5.1529, 7.6099 Å; angles 90.00, 95.46, 90.00 degrees
Space group C2/m (No. 12)
Asymmetric unit:
K1 0.0000 0.0000 0.0000 x2
Re1 0.0000 0.5000 0.5000 x2
Cl1 0.2373 0.5000 0.0039 x4
F1 0.0043 0.2499 0.3183 x8
F2 0.1608 0.5000 0.5317 x4

Results
Crystal system: monoclinic
Uncorrected energy: -0.346 Ry/atom
Mass density: 3.00 g cm⁻³

---

Entry 6:
Computed, not measured: crystalline LiDy3Y2Te6 at its relaxed geometry at the PBE-GGA level of DFT.

Cell lengths 18.9416, 4.3401, 8.6858 Å; angles 90.00, 103.28, 90.00 degrees
Space group C2/m (No. 12)
Asymmetric unit:
Li1 0.0000 0.0000 0.0000 x2
Dy1 0.0000 0.0000 0.5000 x2
Dy2 0.1691 0.5000 0.8308 x4
Y1 0.1692 0.5000 0.3396 x4
Te1 0.0000 0.5000 0.2416 x4
Te2 0.1618 0.0000 0.0799 x4
Te3 0.1650 0.0000 0.5841 x4

Results
Crystal system: monoclinic
Uncorrected energy: -0.387 Ry/atom
Mass density: 6.87 g cm⁻³

---

Entry 7:
Computed, not measured: crystalline PuTh2Au3 at its relaxed geometry at the PBE-GGA level of DFT.

Cell lengths 5.3061, 16.0032, 3.5671 Å; angles 90.00, 90.00, 90.00 degrees
Space group Pmmn (No. 59, origin choice 2)
Asymmetric unit:
Pu1 0.2500 0.2500 0.0010 x2
Th1 0.2500 0.5877 0.9998 x4
Au1 0.2500 0.0804 0.5004 x4
Au2 0.2500 0.7500 0.4995 x2

Results
Crystal system: orthorhombic
Uncorrected energy: -0.515 Ry/atom
Mass density: 14.24 g cm⁻³
Formation energy: -49 kJ per mole of atoms
E above lowest polymorph: 0 meV/atom

---

Entry 8:
Computed, not measured: crystalline La3PrEr5 at its relaxed geometry at the PBE-GGA level of DFT.

Cell lengths 8.7183, 8.7183, 15.8330 Å; angles 90.00, 90.00, 90.00 degrees
Space group I4/mcm (No. 140)
Asymmetric unit:
La1 0.0000 0.0000 0.2500 x4
La2 0.1175 0.3825 0.0000 x8
Pr1 0.0000 0.5000 0.2500 x4
Er1 0.0000 0.0000 0.0000 x4
Er2 0.2125 0.2875 0.3615 x16

Results
Crystal system: tetragonal
Uncorrected energy: -0.329 Ry/atom
Mass density: 7.69 g cm⁻³
Formation energy: 23 kJ per mole of atoms